No. 1
PBE-GGA Re2NiPt, optimized geometry; polymorph energy (0 for the lowest one) = 114 meV/atom; ΔH_f (0 K) = 0.068 eV per atom; M_tot = 0.0 Bohr magnetons per cell; space group = Cmmm (65); E = -36.45 eV/cell
1.0
5.9325 0.0000 0.0001
-2.3635 4.1826 -0.0038
1.2056 0.6827 2.2864
Ni Pt Re
1 1 2
Direct
0.0000 0.5000 0.5000
0.5000 0.5000 0.0000
0.0000 0.0000 0.0000
0.5000 0.0000 0.5000



No. 2
PBE-GGA Ca4BeNi, optimized geometry; ΔH_f (0 K) = 1.012 eV per atom; M_tot = 0.2 Bohr magnetons per cell; space group = F-43m (216); E = -11.44 eV/cell
1.0
3.5699 -3.4860 3.8641
1.2073 2.0162 5.8571
-2.6218 -2.9167 4.9444
Ca Be Ni
4 1 1
Direct
0.8742 0.3753 0.3753
0.3753 0.3753 0.8742
0.3753 0.8742 0.3753
0.3753 0.3753 0.3753
0.0000 0.0000 0.0000
0.7500 0.7500 0.7500